1.
The following is a DFT calculation (meta-GGA SCAN) of a PBEsol-optimized structure of TaRuAu2.

Values from the calculation:
The energy relative to the lowest polymorph listed for this composition is 0.000 eV per atom. The volume is 16.138 Å³/atom. For the formation energy, the calculation gives -0.1720 eV per atom.

Cell lengths 3.0852, 3.6298, 5.7642 Å; angles 90.00, 90.00, 90.00 degrees
Fractional coordinates of all 4 atoms:
Au: 0.0000 0.0000 0.0026
Au: 0.5000 0.5000 0.2504
Ta: 0.5000 0.5000 0.7279
Ru: 0.0000 0.0000 0.5189

=====

2.
The following is a DFT calculation (meta-GGA SCAN) of a PBEsol-optimized structure of BaYMo.

Values from the calculation:
The volume is 29.518 Å³/atom. For the formation energy, the calculation gives 1.6695 eV per atom.

Cell lengths 5.0031, 5.0031, 5.0031 Å; angles 60.00, 60.00, 60.00 degrees
Fractional coordinates of all 3 atoms:
Mo: 0.0000 0.0000 0.0000
Ba: 0.2500 0.2500 0.2500
Y: 0.5000 0.5000 0.5000

=====

no.,size of the total moment (μB per formula unit),E (eV per atom)
1,0.0,-60.1029
2,3.2,-32.4233